Entry from Alexandria: NiGe2RuF after structural relaxation (GGA+U).

Summary:
- size of the total moment (μB/cell) = 2.0
- uncorrected energy (eV/atom) = -4.46
- Fermi-level density of states (states/eV per atom) = 0.283

a = 4.6703 Å, b = 4.7657 Å, c = 4.6703 Å
α = 90.00°, β = 90.00°, γ = 90.00°
Last column: nearest neighbours and their distance in Å.
Positions (direct):
Ni 0.0000 0.5000 0.0000  2 Ru 2.38
Ge 0.5000 0.0000 0.0000  2 Ru 2.34
Ge 0.0000 0.0000 0.5000  2 Ru 2.34
F 0.5000 0.5000 0.5000  4 Ni 3.30, 8 Ge 3.34
Ru 0.0000 0.0000 0.0000  4 Ge 2.34, 2 Ni 2.38